The following is a DFT calculation (PBE) of a relaxed LaMgAg3 crystal.

The calculation puts the formation energy at 18.99 kcal/mol of atoms. The theoretical density comes out at 4.47 g/cm³. For the distance to the lowest polymorph of the same formula, the calculation gives 999 meV/atom. For the calculated volume, the calculation gives 181.0 Å³/cell.

Structure (POSCAR):
```
LaMgAg3
1.0
-0.339 1.618 5.410
-0.484 -5.408 1.587
5.626 -0.368 0.463
Mg Ag La
1 3 1
Direct
0.500 0.500 0.500
0.000 0.500 0.000
0.000 0.000 0.500
0.500 0.000 0.000
0.000 0.000 0.000
```